A geometry-optimized NaPrTlAg structure, computed with GGA-PBE.

Geometry as POSCAR:
```
NaPrTlAg
1.0
5.313 0.000 0.000
2.657 4.601 0.000
2.657 1.534 4.338
Pr Na Tl Ag
1 1 1 1
direct
0.500 0.500 0.500
0.000 0.000 0.000
0.250 0.250 0.250
0.750 0.750 0.750
```

## Properties
- SG: No. 216
- ΔE_f: -0.19 eV per atom
- Crystal system: cubic

A geometry-optimized NaPrZnAg structure, computed with GGA-PBE.

Geometry as POSCAR:
```
NaPrZnAg
1.0
5.148 0.000 0.000
2.574 4.458 0.000
2.574 1.486 4.203
Pr Na Zn Ag
1 1 1 1
direct
0.500 0.500 0.500
0.000 0.000 0.000
0.250 0.250 0.250
0.750 0.750 0.750
```

## Properties
- SG: No. 216
- ΔE_f: -0.11 eV per atom
- Crystal system: cubic

A geometry-optimized NaAgPt structure, computed with GGA-PBE.

Geometry as POSCAR:
```
NaAgPt
1.0
-2.336 -3.681 1.576
1.765 -4.258 -0.508
2.663 0.497 5.113
Na Ag Pt
2 2 2
direct
0.667 0.167 0.448
0.333 0.833 0.552
0.000 0.500 0.762
0.000 0.500 0.238
0.667 0.167 0.961
0.333 0.833 0.039
```

## Properties
- SG: No. 164
- E above lowest polymorph: 149 meV/atom
- ΔE_f: -0.04 eV per atom
- Crystal system: trigonal

A geometry-optimized NaAg2Pt structure, computed with GGA-PBE.

Geometry as POSCAR:
```
NaAg2Pt
1.0
4.052 0.000 0.000
0.000 4.052 0.000
2.026 2.026 9.674
Na Ag Pt
2 4 2
direct
0.500 0.500 0.000
0.250 0.750 0.500
0.640 0.125 0.250
0.110 0.625 0.250
0.375 0.360 0.750
0.875 0.890 0.750
0.000 0.000 0.000
0.750 0.250 0.500
```

## Properties
- SG: No. 122
- E above lowest polymorph: 263 meV/atom
- ΔE_f: 0.23 eV per atom
- Crystal system: tetragonal

A geometry-optimized Na2Ag4Pt structure, computed with GGA-PBE.

Geometry as POSCAR:
```
Na2Ag4Pt
1.0
-2.287 -0.453 -4.598
2.424 -4.486 -0.764
-5.629 -6.091 0.510
Na Ag Pt
2 4 1
direct
0.380 0.380 0.241
0.620 0.620 0.759
0.176 0.176 0.648
0.824 0.824 0.352
0.000 0.500 0.000
0.500 0.000 0.000
0.000 0.000 0.000
```

## Properties
- SG: No. 139
- ΔE_f: 0.34 eV per atom
- Crystal system: tetragonal

A geometry-optimized Na6Ag2Pt structure, computed with GGA-PBE.

Geometry as POSCAR:
```
Na6Ag2Pt
1.0
-1.669 2.558 4.020
-4.425 -1.214 2.106
2.780 -6.239 8.294
Na Ag Pt
6 2 1
direct
0.591 0.591 0.226
0.808 0.808 0.576
0.695 0.695 0.916
0.192 0.192 0.424
0.409 0.409 0.774
0.305 0.305 0.084
0.912 0.912 0.264
0.088 0.088 0.736
0.000 0.000 0.000
```

## Properties
- SG: No. 166
- ΔE_f: -0.05 eV per atom
- Crystal system: trigonal

A geometry-optimized NaAgPt structure, computed with GGA-PBE.

Geometry as POSCAR:
```
NaAgPt
1.0
2.856 0.000 0.000
-1.428 2.473 0.000
0.000 0.000 7.503
Na Ag Pt
1 1 1
direct
0.333 0.667 0.658
0.000 0.000 0.008
0.667 0.333 0.334
```

## Properties
- SG: No. 156
- E above lowest polymorph: 163 meV/atom
- ΔE_f: -0.03 eV per atom
- Crystal system: trigonal

A geometry-optimized NaAg3Pt structure, computed with GGA-PBE.

Geometry as POSCAR:
```
NaAg3Pt
1.0
5.366 0.000 0.000
0.000 6.863 -0.001
0.000 -3.433 5.943
Na Ag Pt
2 6 2
direct
0.750 0.667 0.333
0.250 0.333 0.667
0.750 0.601 0.800
0.250 0.800 0.601
0.250 0.399 0.200
0.750 0.200 0.399
0.250 0.800 0.200
0.750 0.200 0.800
0.000 0.000 0.000
0.500 0.000 0.000
```

## Properties
- SG: No. 194
- E above lowest polymorph: 0 meV/atom
- ΔE_f: 0.09 eV per atom
- Crystal system: hexagonal